(1)
A plane-wave DFT calculation with PBE-GGA was carried out for a relaxed structure of GdPuCuPt.

Summary:
ρ ... 12.649 Mg/m³
Energy of formation from the pure elements ... -0.50 eV per atom
Spin magnetization ... 3.1784 μB per atom

a b c (Å): 4.9665 4.9665 4.9665
angles (deg): 60.00 60.00 60.00
Fractional coordinates of all 4 atoms:
Gd (0.0000, 0.0000, 0.0000)
Pu (0.5000, 0.5000, 0.5000)
Cu (0.7500, 0.7500, 0.7500)
Pt (0.2500, 0.2500, 0.2500)

=====

(2)
A plane-wave DFT calculation with PBE-GGA was carried out for a relaxed structure of GdCuPtRh.

Summary:
ρ ... 12.394 Mg/m³
Energy of formation from the pure elements ... -0.50 eV per atom
Spin magnetization ... 1.7749 μB per atom

a b c (Å): 4.6151 4.6151 4.6151
angles (deg): 60.00 60.00 60.00
Fractional coordinates of all 4 atoms:
Gd (0.0000, 0.0000, 0.0000)
Cu (0.5000, 0.5000, 0.5000)
Pt (0.7500, 0.7500, 0.7500)
Rh (0.2500, 0.2500, 0.2500)

=====

(3)
A plane-wave DFT calculation with PBE-GGA was carried out for a relaxed structure of SmGdCuPt.

Summary:
ρ ... 10.596 Mg/m³
Energy of formation from the pure elements ... -0.69 eV per atom
Spin magnetization ... 1.7725 μB per atom

a b c (Å): 5.0066 5.0066 5.0066
angles (deg): 60.00 60.00 60.00
Fractional coordinates of all 4 atoms:
Sm (0.0000, 0.0000, 0.0000)
Gd (0.5000, 0.5000, 0.5000)
Cu (0.7500, 0.7500, 0.7500)
Pt (0.2500, 0.2500, 0.2500)

=====

(4)
A plane-wave DFT calculation with PBE-GGA was carried out for a relaxed structure of GdThCuPt.

Summary:
ρ ... 11.809 Mg/m³
Energy of formation from the pure elements ... -0.62 eV per atom
Spin magnetization ... 1.8302 μB per atom

a b c (Å): 5.0507 5.0507 5.0507
angles (deg): 60.00 60.00 60.00
Fractional coordinates of all 4 atoms:
Gd (0.0000, 0.0000, 0.0000)
Th (0.5000, 0.5000, 0.5000)
Cu (0.7500, 0.7500, 0.7500)
Pt (0.2500, 0.2500, 0.2500)

=====

Question: What is the ρ in the fourth record?
Answer: 11.809 Mg/m³

=====

Question: Which value of energy of formation from the pure elements does entry 3 give?
Answer: -0.69 eV per atom

=====

Question: Which value of spin magnetization does entry 4 give?
Answer: 1.8302 μB per atom

=====

Question: The highest ρ belongs to which entry?
Answer: GdPuCuPt